[1]
Material: CaAlSiPd3
Method: DFT, PBE-GGA
State: relaxed

space-group type: Cmcm
total magnetization: 0.00 μB/f.u.
formation energy without anion corrections: -621 meV per atom
electronic total energy: -60.946 eV for the cell shown

abc: 6.8611 6.8611 5.6111
angles: 90.00 90.00 120.01
Fractional positions:
1 Ca 0.2078 0.7922 0.7500
2 Ca 0.7922 0.2078 0.2500
3 Al 0.4657 0.5343 0.7500
4 Al 0.5343 0.4657 0.2500
5 Si 0.1234 0.8766 0.2500
6 Si 0.8766 0.1234 0.7500
7 Pd 0.2041 0.2041 0.0000
8 Pd 0.2041 0.2041 0.5000
9 Pd 0.3224 0.6776 0.2500
10 Pd 0.6776 0.3224 0.7500
11 Pd 0.7959 0.7959 0.0000
12 Pd 0.7959 0.7959 0.5000


[2]
Material: Ac3Ni3Pb
Method: DFT, PBE-GGA
State: relaxed

space-group type: P6_3/m
energy above the lowest structure with this stoichiometry: 0.00 eV per formula unit
total magnetization: 0.00 μB/f.u.
energy of formation: -357 meV/atom
electronic total energy: -71.755 eV for the cell shown

abc: 10.3917 10.3917 4.1519
angles: 90.00 90.00 120.00
Fractional positions:
1 Ac 0.0513 0.6902 0.2500
2 Ac 0.3098 0.3611 0.2500
3 Ac 0.3611 0.0513 0.7500
4 Ac 0.6389 0.9487 0.2500
5 Ac 0.6902 0.6389 0.7500
6 Ac 0.9487 0.3098 0.7500
7 Ni 0.0163 0.8709 0.7500
8 Ni 0.1291 0.1455 0.7500
9 Ni 0.1455 0.0163 0.2500
10 Ni 0.8545 0.9837 0.7500
11 Ni 0.8709 0.8545 0.2500
12 Ni 0.9837 0.1291 0.2500
13 Pb 0.3333 0.6667 0.7500
14 Pb 0.6667 0.3333 0.2500


[3]
Material: FeCoB3
Method: DFT, PBE-GGA
State: relaxed

space-group type: Pm-3m
total magnetization: 2.52 μB/f.u.
energy of formation: 934 meV/atom
electronic total energy: -30.933 eV for the cell shown

abc: 3.6843 3.6843 3.6843
angles: 90.00 90.00 90.00
Fractional positions:
1 Fe 0.0000 0.0000 0.0000
2 Co 0.5000 0.5000 0.5000
3 B 0.0000 0.5000 0.5000
4 B 0.5000 0.0000 0.5000
5 B 0.5000 0.5000 0.0000


[4]
Material: Ta2SeF
Method: DFT, PBE-GGA
State: relaxed

space-group type: I-42d
energy above the lowest structure with this stoichiometry: 0.00 eV per formula unit
total magnetization: 0.00 μB/f.u.
formation energy without anion corrections: -305 meV per atom
electronic total energy: -60.561 eV for the cell shown

abc: 8.5855 8.5855 8.5855
angles: 151.88 151.88 40.19
Fractional positions:
1 Ta 0.0993 0.6250 0.9744
2 Ta 0.3750 0.3494 0.4744
3 Ta 0.6506 0.1250 0.0256
4 Ta 0.8750 0.9006 0.5256
5 Se 0.2500 0.7500 0.5000
6 Se 0.5000 0.5000 0.0000
7 F 0.0000 0.0000 0.0000
8 F 0.7500 0.2500 0.5000


Copy entry 4 word for word.
Material: Ta2SeF
Method: DFT, PBE-GGA
State: relaxed

space-group type: I-42d
energy above the lowest structure with this stoichiometry: 0.00 eV per formula unit
total magnetization: 0.00 μB/f.u.
formation energy without anion corrections: -305 meV per atom
electronic total energy: -60.561 eV for the cell shown

abc: 8.5855 8.5855 8.5855
angles: 151.88 151.88 40.19
Fractional positions:
1 Ta 0.0993 0.6250 0.9744
2 Ta 0.3750 0.3494 0.4744
3 Ta 0.6506 0.1250 0.0256
4 Ta 0.8750 0.9006 0.5256
5 Se 0.2500 0.7500 0.5000
6 Se 0.5000 0.5000 0.0000
7 F 0.0000 0.0000 0.0000
8 F 0.7500 0.2500 0.5000